# 1
Density functional theory data (GGA-PBEsol) for a geometry-optimized KBaSr2 structure.

Cell lengths 6.0474, 6.0474, 7.5972 Å; angles 113.45, 113.45, 90.00 degrees
Fractional coordinates of all 4 atoms:
Ba  0.5000  0.5000  0.0000
K  0.0000  0.0000  0.0000
Sr  0.7500  0.2500  0.5000
Sr  0.2500  0.7500  0.5000

* magnetic moment: 0.0 μB/f.u.
* offset from the most stable computed form: 52 meV/atom
* energy: -1.637 eV per atom
* ΔE_f: 104 meV per atom

=====

# 2
Density functional theory data (GGA-PBEsol) for a geometry-optimized KBaSr2 structure.

Cell lengths 4.2775, 6.1357, 8.7252 Å; angles 90.00, 90.00, 90.00 degrees
Fractional coordinates of all 4 atoms:
Sr  0.0000  0.0000  0.0114
Sr  0.5000  0.5000  0.2447
K  0.5000  0.5000  0.7533
Ba  0.0000  0.0000  0.4907

* magnetic moment: 0.0 μB/f.u.
* offset from the most stable computed form: 29 meV/atom
* energy: -1.659 eV per atom
* ΔE_f: 82 meV per atom

=====

# 3
Density functional theory data (GGA-PBEsol) for a geometry-optimized KBaSr3 structure.

Cell lengths 6.7950, 6.7950, 6.7950 Å; angles 90.00, 90.00, 90.00 degrees
Site moments in Bohr magnetons follow the coordinates.
Fractional coordinates of all 5 atoms:
Sr  0.0000  0.5000  0.0000  0.07
Sr  0.0000  0.0000  0.5000  0.07
Sr  0.5000  0.0000  0.0000  0.07
K  0.0000  0.0000  0.0000  0.04
Ba  0.5000  0.5000  0.5000  0.08

* magnetic moment: 1.8 μB/f.u.
* energy: -1.252 eV per atom
* ΔE_f: 509 meV per atom

=====

# 4
Density functional theory data (GGA-PBEsol) for a geometry-optimized KBaSr2 structure.

Cell lengths 4.6127, 7.0101, 7.0499 Å; angles 90.00, 90.00, 90.00 degrees
Fractional coordinates of all 4 atoms:
Sr  0.0000  0.0000  0.0000
Sr  0.5000  0.5000  0.0000
K  0.0000  0.5000  0.5000
Ba  0.5000  0.0000  0.5000

* magnetic moment: 0.0 μB/f.u.
* offset from the most stable computed form: 43 meV/atom
* energy: -1.645 eV per atom
* ΔE_f: 96 meV per atom

=====

# 5
Density functional theory data (GGA-PBEsol) for a geometry-optimized KBaSr2 structure.

Cell lengths 6.8845, 6.8845, 6.8845 Å; angles 60.00, 60.00, 60.00 degrees
Fractional coordinates of all 4 atoms:
Sr  0.2500  0.2500  0.2500
Sr  0.7500  0.7500  0.7500
K  0.0000  0.0000  0.0000
Ba  0.5000  0.5000  0.5000

* magnetic moment: 0.0 μB/f.u.
* offset from the most stable computed form: 70 meV/atom
* energy: -1.618 eV per atom
* ΔE_f: 122 meV per atom

=====

# 6
Density functional theory data (GGA-PBEsol) for a geometry-optimized KBaTc2 structure.

Cell lengths 2.8174, 2.8174, 11.2342 Å; angles 90.00, 90.00, 90.00 degrees
Fractional coordinates of all 4 atoms:
Ba  0.5000  0.5000  0.0000
K  0.5000  0.5000  0.5000
Tc  0.0000  0.0000  0.7544
Tc  0.0000  0.0000  0.2456

* magnetic moment: 0.0 μB/f.u.
* offset from the most stable computed form: 375 meV/atom
* energy: -4.890 eV per atom
* ΔE_f: 1564 meV per atom

=====

# 7
Density functional theory data (GGA-PBEsol) for a geometry-optimized KBaTc2 structure.

Cell lengths 3.0404, 5.5013, 6.9583 Å; angles 90.00, 89.88, 90.00 degrees
Fractional coordinates of all 4 atoms:
Ba  0.5000  0.5000  0.0000
K  0.5000  0.5000  0.5000
Tc  0.0008  0.0000  0.8492
Tc  0.9992  0.0000  0.1508

* magnetic moment: 0.0 μB/f.u.
* offset from the most stable computed form: 0 meV/atom
* energy: -5.265 eV per atom
* ΔE_f: 1188 meV per atom

=====

# 8
Density functional theory data (GGA-PBEsol) for a geometry-optimized KBa2Tc structure.

Cell lengths 3.8987, 3.8987, 12.4069 Å; angles 80.96, 80.96, 60.00 degrees
Fractional coordinates of all 4 atoms:
Ba  0.2758  0.2758  0.1725
Ba  0.7242  0.7242  0.8275
K  0.5000  0.5000  0.5000
Tc  0.0000  0.0000  0.0000

* magnetic moment: 0.0 μB/f.u.
* energy: -3.360 eV per atom
* ΔE_f: 814 meV per atom

=====

Question: What is the formula in the eighth record?
Answer: KBa2Tc